SCAN Sr2SbAs, single point on PBEsol structure; Fermi-level density of states = 3.45 states/eV/cell; space group = F-43m, No. 216; ρ = 5.43 g/cm3; formation energy from raw total energies = -0.3318 eV/atom; calculated total energy = -25.8323 eV/atom
1.0
5.4380 0.0000 0.0000
2.7190 4.7095 0.0000
2.7190 1.5698 4.4401
Sb As Sr
1 1 2
Direct
0.2500 0.2500 0.2500 Sb
0.5000 0.5000 0.5000 As
0.0000 0.0000 0.0000 Sr
0.7500 0.7500 0.7500 Sr

SCAN Sr2SbAs, single point on PBEsol structure; Fermi-level density of states = 3.31 states/eV/cell; space group = R-3m, No. 166; ρ = 4.74 g/cm3; formation energy from raw total energies = -0.8845 eV/atom; calculated total energy = -26.3850 eV/atom
1.0
4.1524 0.0000 0.0000
2.0762 3.5961 0.0000
2.0762 1.1987 8.7338
Sb As Sr
1 1 2
Direct
0.0000 0.0000 0.0000 Sb
0.5000 0.5000 0.5000 As
0.2394 0.2394 0.2818 Sr
0.7606 0.7606 0.7182 Sr

SCAN Ta2SbAs2, single point on PBEsol structure; Fermi-level density of states = 2.88 states/eV/cell; space group = I4/mmm, No. 139; ρ = 10.81 g/cm3; formation energy from raw total energies = 0.0075 eV/atom; calculated total energy = -42.1543 eV/atom
1.0
4.7065 0.0000 0.0000
0.0000 4.7065 0.0000
-2.3533 -2.3533 4.3924
Sb As Ta
1 2 2
Direct
0.0000 0.0000 0.0000 Sb
0.3636 0.3636 0.7273 As
0.6364 0.6364 0.2727 As
0.2500 0.7500 0.5000 Ta
0.7500 0.2500 0.5000 Ta

SCAN TaSbAs2, single point on PBEsol structure; Fermi-level density of states = 1.81 states/eV/cell; space group = R-3m, No. 166; ρ = 9.26 g/cm3; formation energy from raw total energies = -0.0107 eV/atom; calculated total energy = -36.0670 eV/atom
1.0
3.2514 0.0000 0.0000
1.6257 2.8158 0.0000
1.6257 0.9386 8.8606
Sb As Ta
1 2 1
Direct
0.5000 0.5000 0.5000 Sb
0.2650 0.2650 0.2051 As
0.7350 0.7350 0.7949 As
0.0000 0.0000 0.0000 Ta

SCAN TaSbAs, single point on PBEsol structure; Fermi-level density of states = 2.09 states/eV/cell; space group = F-43m, No. 216; ρ = 9.19 g/cm3; formation energy from raw total energies = 0.3492 eV/atom; calculated total energy = -40.9957 eV/atom
1.0
4.5865 0.0000 0.0000
2.2933 3.9721 0.0000
2.2933 1.3240 3.7449
Sb As Ta
1 1 1
Direct
0.5000 0.5000 0.5000 Sb
0.0000 0.0000 0.0000 As
0.2500 0.2500 0.2500 Ta

SCAN TaSbAs2, single point on PBEsol structure; Fermi-level density of states = 1.81 states/eV/cell; space group = Cmm2, No. 35; ρ = 9.23 g/cm3; formation energy from raw total energies = 0.2769 eV/atom; calculated total energy = -35.7795 eV/atom
1.0
2.9652 -0.0034 0.0000
-0.7286 2.8744 0.0000
0.0000 0.0000 9.5532
Sb As Ta
1 2 1
Direct
0.0000 0.0000 0.4719 Sb
0.0000 0.0000 0.0374 As
0.5000 0.5000 0.7559 As
0.5000 0.5000 0.2348 Ta

SCAN ZrTa2SbAs, single point on PBEsol structure; Fermi-level density of states = 5.18 states/eV/cell; space group = P4/mmm, No. 123; ρ = 8.50 g/cm3; formation energy from raw total energies = 1.5859 eV/atom; calculated total energy = -42.6775 eV/atom
1.0
4.9998 0.0000 0.0000
0.0000 4.9998 0.0000
0.0000 0.0000 5.0767
Sb As Zr Ta
1 1 1 2
Direct
0.0000 0.0000 0.0000 Sb
0.0000 0.0000 0.5000 As
0.5000 0.5000 0.5000 Zr
0.0000 0.5000 0.0000 Ta
0.5000 0.0000 0.0000 Ta

SCAN TcSbAs3, single point on PBEsol structure; Fermi-level density of states = 3.76 states/eV/cell; space group = Pm-3m, No. 221; ρ = 6.80 g/cm3; formation energy from raw total energies = 0.4838 eV/atom; calculated total energy = -26.0947 eV/atom
1.0
-2.7841 -3.0227 2.4231
0.3791 -3.1821 -3.5340
3.8554 -1.8699 2.0972
Sb As Tc
1 3 1
Direct
0.5000 0.5000 0.5000 Sb
0.0000 0.5000 0.0000 As
0.0000 0.0000 0.5000 As
0.5000 0.0000 0.0000 As
0.0000 0.0000 0.0000 Tc

SCAN SbTe3As, single point on PBEsol structure; Fermi-level density of states = 3.04 states/eV/cell; space group = Pm-3m, No. 221; ρ = 6.42 g/cm3; formation energy from raw total energies = 0.5284 eV/atom; calculated total energy = -33.3125 eV/atom
1.0
-4.8896 0.9129 -1.8664
-1.0079 -5.2155 0.0895
-1.8169 0.4364 4.9733
Sb As Te
1 1 3
Direct
0.5000 0.5000 0.5000 Sb
0.0000 0.0000 0.0000 As
0.0000 0.5000 0.0000 Te
0.0000 0.0000 0.5000 Te
0.5000 0.0000 0.0000 Te

SCAN Sb2TeAs, single point on PBEsol structure; Fermi-level density of states = 2.24 states/eV/cell; space group = R-3m, No. 166; ρ = 6.88 g/cm3; formation energy from raw total energies = 0.0295 eV/atom; calculated total energy = -32.9613 eV/atom
1.0
4.1886 0.0000 0.0000
2.0943 3.6275 0.0000
2.0943 1.2092 7.0894
Sb As Te
2 1 1
Direct
0.2584 0.2584 0.2249 Sb
0.7416 0.7416 0.7751 Sb
0.0000 0.0000 0.0000 As
0.5000 0.5000 0.5000 Te

SCAN Ti3SbAs, single point on PBEsol structure; Fermi-level density of states = 3.81 states/eV/cell; space group = Pm-3m, No. 221; ρ = 5.57 g/cm3; formation energy from raw total energies = -0.1061 eV/atom; calculated total energy = -21.2143 eV/atom
1.0
-4.1195 -1.8856 -1.1091
-0.7281 -1.0480 4.4863
-2.0628 4.1354 0.6312
Sb As Ti
1 1 3
Direct
0.5000 0.5000 0.5000 Sb
0.0000 0.0000 0.0000 As
0.0000 0.5000 0.0000 Ti
0.0000 0.0000 0.5000 Ti
0.5000 0.0000 0.0000 Ti

SCAN TlSb2As, single point on PBEsol structure; energy relative to the lowest polymorph listed for this composition = 0.0000 eV per atom; Fermi-level density of states = 1.65 states/eV/cell; space group = C2/m, No. 12; ρ = 8.21 g/cm3; formation energy from raw total energies = 0.1625 eV/atom; calculated total energy = -41.6051 eV/atom
1.0
-0.6266 -2.9256 -2.2282
3.7779 -2.9656 2.8313
-4.7019 0.9177 3.2402
Sb Tl As
2 1 1
Direct
0.2129 0.1743 0.4257 Sb
0.7871 0.8257 0.5743 Sb
0.0000 0.5000 0.0000 Tl
0.5000 0.0000 0.0000 As

SCAN TlSbAs, single point on PBEsol structure; energy relative to the lowest polymorph listed for this composition = 0.1486 eV per atom; Fermi-level density of states = 1.26 states/eV/cell; space group = P-6m2, No. 187; ρ = 8.99 g/cm3; formation energy from raw total energies = 0.2040 eV/atom; calculated total energy = -43.0659 eV/atom
1.0
-1.8348 1.5933 -2.0925
3.3234 -1.1435 -3.7847
-3.9364 -3.1816 1.0290
Sb Tl As
1 1 1
Direct
0.0000 0.3333 0.6667 Sb
0.5000 0.6667 0.3333 Tl
0.0000 0.0000 0.0000 As

SCAN Tl2SbAs, single point on PBEsol structure; energy relative to the lowest polymorph listed for this composition = 0.0000 eV per atom; Fermi-level density of states = 1.75 states/eV/cell; space group = R3m, No. 160; ρ = 9.08 g/cm3; formation energy from raw total energies = 0.0489 eV/atom; calculated total energy = -50.4932 eV/atom
1.0
-3.6198 0.3276 1.0206
-2.0448 -3.0902 0.7216
0.5756 -0.5394 9.1962
Sb Tl As
1 2 1
Direct
0.2353 0.2353 0.2941 Sb
0.9974 0.9974 0.0077 Tl
0.7585 0.7585 0.7245 Tl
0.5088 0.5088 0.4737 As

SCAN Tl2SbAs, single point on PBEsol structure; energy relative to the lowest polymorph listed for this composition = 0.1864 eV per atom; Fermi-level density of states = 2.65 states/eV/cell; space group = F-43m, No. 216; ρ = 9.82 g/cm3; formation energy from raw total energies = 0.2353 eV/atom; calculated total energy = -50.3068 eV/atom
1.0
5.2515 0.0000 0.0000
2.6257 4.5479 0.0000
2.6257 1.5160 4.2878
Sb Tl As
1 2 1
Direct
0.2500 0.2500 0.2500 Sb
0.0000 0.0000 0.0000 Tl
0.7500 0.7500 0.7500 Tl
0.5000 0.5000 0.5000 As